# 1
Computed, not measured: RbHfSc after structural relaxation at the PBE level of DFT.

abc: 3.3257 5.4380 13.8720
angles: 97.18 76.72 107.51
Site moments in Bohr magnetons follow the coordinates.
Fractional coordinates of all 6 atoms:
Rb 0.7367 0.2896 0.5650  0.01
Rb 0.7577 0.8348 0.8620  0.01
Hf 0.5604 0.2968 0.2529  0.02
Hf 0.9016 0.8284 0.1742  0.02
Sc 0.2656 0.3556 0.0701  0.08
Sc 0.1961 0.7696 0.3570  0.08

Results
Excess energy over the best structure of this formula in the dataset (meV/atom): 23
Magnetic moment (μB per formula unit): 0.299
Calculated density (Mg/m³): 4.4
Energy (eV per atom): -5.356
Formation energy from the elements (eV per atom): 0.395

***

# 2
Computed, not measured: TbLuMgAu after structural relaxation at the PBE level of DFT.

abc: 5.1544 5.1544 5.1544
angles: 60.00 60.00 60.00
Fractional coordinates of all 4 atoms:
Tb 0.2500 0.2500 0.2500
Mg 0.5000 0.5000 0.5000
Lu 0.7500 0.7500 0.7500
Au 0.0000 0.0000 0.0000

Results
Magnetic moment (μB per formula unit): 0.000
Calculated density (Mg/m³): 9.5
Energy (eV per atom): -3.918
Formation energy from the elements (eV per atom): -0.412

***

# 3
Computed, not measured: Cu8AsS6 after structural relaxation at the PBE level of DFT.

abc: 6.2320 6.2320 6.2320
angles: 98.10 98.10 98.10
Fractional coordinates of all 15 atoms:
S 0.1131 0.2959 0.5799
S 0.8869 0.7041 0.4201
S 0.7041 0.4201 0.8869
S 0.5799 0.1131 0.2959
S 0.4201 0.8869 0.7041
S 0.2959 0.5799 0.1131
Cu 0.3550 0.2202 0.8769
Cu 0.2723 0.2723 0.2723
Cu 0.1231 0.6450 0.7798
Cu 0.7798 0.1231 0.6450
Cu 0.8769 0.3550 0.2202
Cu 0.2202 0.8769 0.3550
Cu 0.7277 0.7277 0.7277
Cu 0.6450 0.7798 0.1231
As 0.0000 0.0000 0.0000

Results
Magnetic moment (μB per formula unit): 0.000
Calculated density (Mg/m³): 5.5
Energy (eV per atom): -4.211
Raw formation energy (meV/atom): -65

***

# 4
Computed, not measured: TbAlZn3Ag after structural relaxation at the PBE level of DFT.

abc: 5.8790 6.1348 7.1409
angles: 115.44 90.00 90.00
Fractional coordinates of all 12 atoms:
Zn 0.0000 0.3005 0.0000
Zn 0.5000 0.6995 0.0000
Zn 0.0000 0.6995 0.0000
Zn 0.2500 0.1294 0.2587
Zn 0.5000 0.3005 0.0000
Zn 0.7500 0.8706 0.7413
Ag 0.2500 0.3386 0.6771
Ag 0.7500 0.6614 0.3229
Al 0.7500 0.0787 0.1575
Al 0.2500 0.9213 0.8425
Tb 0.7500 0.3033 0.6066
Tb 0.2500 0.6967 0.3934

Results
Magnetic moment (μB per formula unit): 0.000
Calculated density (Mg/m³): 7.0
Energy (eV per atom): -2.573
Formation energy from the elements (eV per atom): -0.065